Entry 1:
Al2HgRu2 (PBE, relaxed); VASP energy = -54.756 eV for the cell shown; distance to the lowest polymorph of the same formula = 0.034 eV per atom; SG = No. 127; calculated density = 9.88 g/cm3
1.0
7.089 0.000 0.000
0.000 7.089 0.000
0.000 0.000 3.055
Al Hg Ru
4 2 4
direct
0.133 0.367 0.000 Al
0.367 0.867 0.000 Al
0.633 0.133 0.000 Al
0.867 0.633 0.000 Al
0.000 0.000 0.000 Hg
0.500 0.500 0.000 Hg
0.159 0.659 0.500 Ru
0.341 0.159 0.500 Ru
0.659 0.841 0.500 Ru
0.841 0.341 0.500 Ru

***

Entry 2:
AlHg2Ru (PBE, relaxed); VASP energy = -13.499 eV for the cell shown; SG = No. 6; calculated density = 11.78 g/cm3
1.0
3.152 0.000 0.000
0.000 3.211 0.000
-0.132 0.000 7.373
Al Hg Ru
1 2 1
direct
0.000 0.000 0.000 Al
0.016 0.000 0.405 Hg
0.484 0.500 0.719 Hg
0.507 0.500 0.141 Ru

***

Entry 3:
AlHg3Ru (PBE, relaxed); VASP energy = -10.444 eV for the cell shown; distance to the lowest polymorph of the same formula = 0.000 eV per atom; SG = No. 221; calculated density = 8.43 g/cm3
1.0
5.239 0.000 0.000
0.000 5.239 0.000
0.000 0.000 5.239
Al Hg Ru
1 3 1
direct
0.000 0.000 0.000 Al
0.000 0.500 0.500 Hg
0.500 0.000 0.500 Hg
0.500 0.500 0.000 Hg
0.500 0.500 0.500 Ru